1.
Below is a relaxed structure of CaCd2Sb2, with properties calculated at the GGA-PBE level.

Calculated values
Crystal system: tetragonal
Volume, Å³/f.u.: 147.2
Polymorph energy (0 for the lowest one), meV/atom: 275
Formation energy (no corrections), eV/atom: -0.189
Total DFT energy (no corrections), eV per atom: -2.60
Theoretical density, g/cm³: 5.7

Cell: 6.336 6.336 6.336 Å, 129.61 129.61 74.03°
Sites, in units of the cell vectors:
Ca  0.000  0.000  0.000
Cd  0.365  0.365  0.000
Cd  0.635  0.635  0.000
Sb  0.250  0.750  0.500
Sb  0.750  0.250  0.500

=====

2.
Below is a relaxed structure of CaCd2SbSe, with properties calculated at the GGA-PBE level.

Calculated values
Crystal system: tetragonal
Volume, Å³/f.u.: 173.5
Formation energy (no corrections), eV/atom: -0.002
Total DFT energy (no corrections), eV per atom: -2.29
Theoretical density, g/cm³: 4.5

Cell: 5.515 5.515 5.703 Å, 90.00 90.00 90.00°
Sites, in units of the cell vectors:
Ca  0.000  0.000  0.000
Cd  0.000  0.500  0.500
Cd  0.500  0.000  0.500
Sb  0.500  0.500  0.500
Se  0.500  0.500  0.000

=====

3.
Below is a relaxed structure of CaCdSnSb2, with properties calculated at the GGA-PBE level.

Calculated values
Crystal system: tetragonal
Volume, Å³/f.u.: 171.3
Formation energy (no corrections), eV/atom: 0.211
Total DFT energy (no corrections), eV per atom: -2.82
Theoretical density, g/cm³: 5.0

Cell: 5.633 5.633 5.396 Å, 90.00 90.00 90.00°
Sites, in units of the cell vectors:
Ca  0.000  0.000  0.000
Cd  0.500  0.500  0.500
Sn  0.500  0.500  0.000
Sb  0.000  0.500  0.500
Sb  0.500  0.000  0.500

=====

4.
Below is a relaxed structure of CaCdSbTe2, with properties calculated at the GGA-PBE level.

Calculated values
Crystal system: tetragonal
Volume, Å³/f.u.: 197.0
Polymorph energy (0 for the lowest one), meV/atom: 256
Formation energy (no corrections), eV/atom: 0.247
Total DFT energy (no corrections), eV per atom: -2.42
Theoretical density, g/cm³: 4.5

Cell: 5.801 5.801 5.854 Å, 90.00 90.00 90.00°
Sites, in units of the cell vectors:
Ca  0.000  0.000  0.000
Cd  0.500  0.500  0.500
Sb  0.000  0.000  0.500
Te  0.000  0.500  0.000
Te  0.500  0.000  0.000

=====

5.
Below is a relaxed structure of CaCdSbTe2, with properties calculated at the GGA-PBE level.

Calculated values
Crystal system: tetragonal
Volume, Å³/f.u.: 177.2
Polymorph energy (0 for the lowest one), meV/atom: 0
Formation energy (no corrections), eV/atom: -0.009
Total DFT energy (no corrections), eV per atom: -2.67
Theoretical density, g/cm³: 5.0

Cell: 5.747 5.747 5.365 Å, 90.00 90.00 90.00°
Sites, in units of the cell vectors:
Ca  0.000  0.000  0.000
Cd  0.500  0.500  0.500
Sb  0.500  0.500  0.000
Te  0.000  0.500  0.500
Te  0.500  0.000  0.500

=====

6.
Below is a relaxed structure of CaTlCdSb, with properties calculated at the GGA-PBE level.

Calculated values
Crystal system: cubic
Volume, Å³/f.u.: 119.2
Formation energy (no corrections), eV/atom: -0.307
Total DFT energy (no corrections), eV per atom: -2.66
Theoretical density, g/cm³: 6.7

Cell: 5.524 5.524 5.524 Å, 60.00 60.00 60.00°
Sites, in units of the cell vectors:
Ca  0.000  0.000  0.000
Tl  0.500  0.500  0.500
Cd  0.750  0.750  0.750
Sb  0.250  0.250  0.250

=====

7.
Below is a relaxed structure of CaV2CdSb, with properties calculated at the GGA-PBE level.

Calculated values
Crystal system: tetragonal
Volume, Å³/f.u.: 147.7
Formation energy (no corrections), eV/atom: 0.767
Total DFT energy (no corrections), eV per atom: -4.29
Theoretical density, g/cm³: 4.2

Cell: 5.151 5.151 5.566 Å, 90.00 90.00 90.00°
Sites, in units of the cell vectors:
Ca  0.000  0.000  0.000
V  0.000  0.500  0.500
V  0.500  0.000  0.500
Cd  0.500  0.500  0.000
Sb  0.500  0.500  0.500

=====

8.
Below is a relaxed structure of Ca2ScCd2, with properties calculated at the GGA-PBE level.

Calculated values
Crystal system: tetragonal
Volume, Å³/f.u.: 138.4
Polymorph energy (0 for the lowest one), meV/atom: 117
Energy of formation, eV per atom: -0.04
Total DFT energy (no corrections), eV per atom: -2.47
Theoretical density, g/cm³: 4.2

Cell: 8.938 8.938 3.464 Å, 90.00 90.00 90.00°
Sites, in units of the cell vectors:
Ca  0.139  0.361  0.000
Ca  0.361  0.861  0.000
Ca  0.639  0.139  0.000
Ca  0.861  0.639  0.000
Sc  0.000  0.000  0.000
Sc  0.500  0.500  0.000
Cd  0.159  0.659  0.500
Cd  0.341  0.159  0.500
Cd  0.659  0.841  0.500
Cd  0.841  0.341  0.500

=====

9.
Below is a relaxed structure of Ca2ScCd2, with properties calculated at the GGA-PBE level.

Calculated values
Crystal system: tetragonal
Volume, Å³/f.u.: 146.5
Polymorph energy (0 for the lowest one), meV/atom: 0
Energy of formation, eV per atom: -0.15
Total DFT energy (no corrections), eV per atom: -2.59
Theoretical density, g/cm³: 4.0

Cell: 7.834 7.834 4.775 Å, 90.00 90.00 90.00°
Sites, in units of the cell vectors:
Ca  0.172  0.328  0.000
Ca  0.328  0.828  0.000
Ca  0.672  0.172  0.000
Ca  0.828  0.672  0.000
Sc  0.000  0.000  0.500
Sc  0.500  0.500  0.500
Cd  0.132  0.632  0.500
Cd  0.368  0.132  0.500
Cd  0.632  0.868  0.500
Cd  0.868  0.368  0.500

=====

10.
Below is a relaxed structure of CaSc2Cd2, with properties calculated at the GGA-PBE level.

Calculated values
Crystal system: tetragonal
Volume, Å³/f.u.: 135.3
Polymorph energy (0 for the lowest one), meV/atom: 75
Energy of formation, eV per atom: -0.08
Total DFT energy (no corrections), eV per atom: -3.38
Theoretical density, g/cm³: 4.4

Cell: 7.649 7.649 7.649 Å, 146.56 146.56 48.01°
Sites, in units of the cell vectors:
Ca  0.000  0.000  0.000
Sc  0.250  0.750  0.500
Sc  0.750  0.250  0.500
Cd  0.399  0.399  0.000
Cd  0.601  0.601  0.000

=====

11.
Below is a relaxed structure of CaSc2Cd, with properties calculated at the GGA-PBE level.

Calculated values
Crystal system: cubic
Volume, Å³/f.u.: 104.0
Energy of formation, eV per atom: 0.06
Total DFT energy (no corrections), eV per atom: -3.84
Theoretical density, g/cm³: 3.9

Cell: 5.279 5.279 5.279 Å, 60.00 60.00 60.00°
Sites, in units of the cell vectors:
Ca  0.000  0.000  0.000
Sc  0.500  0.500  0.500
Sc  0.750  0.750  0.750
Cd  0.250  0.250  0.250

=====

12.
Below is a relaxed structure of CaSc2Cd2, with properties calculated at the GGA-PBE level.

Calculated values
Crystal system: tetragonal
Volume, Å³/f.u.: 127.6
Polymorph energy (0 for the lowest one), meV/atom: 13
Energy of formation, eV per atom: -0.14
Total DFT energy (no corrections), eV per atom: -3.44
Theoretical density, g/cm³: 4.6

Cell: 8.453 8.453 3.572 Å, 90.00 90.00 90.00°
Sites, in units of the cell vectors:
Ca  0.000  0.000  0.000
Ca  0.500  0.500  0.000
Sc  0.164  0.336  0.500
Sc  0.336  0.836  0.500
Sc  0.664  0.164  0.500
Sc  0.836  0.664  0.500
Cd  0.132  0.632  0.000
Cd  0.368  0.132  0.000
Cd  0.632  0.868  0.000
Cd  0.868  0.368  0.000